The following is a GGA-PBEsol calculation of a geometry-optimized Fe2OsSe structure, from Alexandria via LeMat-Bulk.

Structure (POSCAR):
```
Fe2OsSe
1.0
-0.470 1.420 2.417
-1.042 -3.548 1.881
4.182 -0.608 1.171
Fe Os Se
2 1 1
direct
0.000 0.000 0.019
0.000 0.500 0.747
0.500 0.000 0.534
0.500 0.500 0.201
```

Computed properties:
Crystal system   orthorhombic
Space-group type   Pmm2, No. 25
Formation energy from raw total energies   0.3457 eV per atom
M_tot   4.28 Bohr magnetons per cell
Uncorrected energy   -32.610 eV/cell